## ZnCoO2 (PBE with a Hubbard U)

Data for a relaxed structure of ZnCoO2.

Cell: 3.0350 8.0261 8.2791 Å, 90.60 95.69 91.39°
Fractional coordinates of all 16 atoms:
Zn1 0.1385 0.4189 0.2633
Zn2 0.2524 0.2389 0.8895
Zn3 0.7476 0.7611 0.1105
Zn4 0.8615 0.5811 0.7367
Co1 0.2176 0.9114 0.7757
Co2 0.4753 0.7558 0.4266
Co3 0.5247 0.2442 0.5734
Co4 0.7824 0.0886 0.2243
O1 0.0178 0.7602 0.5770
O2 0.2722 0.2300 0.1184
O3 0.2882 0.9016 0.2311
O4 0.3470 0.4207 0.7368
O5 0.6530 0.5793 0.2632
O6 0.7118 0.0984 0.7689
O7 0.7278 0.7700 0.8816
O8 0.9822 0.2398 0.4230

Output
SG   P-1 (2)
Size of the total moment   2.99 μB/f.u.
Calculated density   5.18 g/cm³
E   -5.159 eV/atom